(1)
DFT (GGA+U) results for crystalline KCa2CoF8 at its relaxed geometry.

The structure in POSCAR format:
```
KCa2CoF8
1.0
5.037 0.000 0.000
0.074 5.232 0.000
0.048 0.036 7.197
K Ca Co F
1 2 1 8
Direct
0.000 0.000 0.000
0.500 0.500 0.256
0.500 0.500 0.744
0.000 0.000 0.500
0.198 0.820 0.686
0.202 0.824 0.313
0.269 0.286 0.501
0.305 0.352 0.001
0.695 0.648 0.999
0.731 0.714 0.499
0.798 0.176 0.687
0.802 0.180 0.314
```

VASP energy: -61.873 eV for the cell shown
ρ: 2.9 Mg/m³
space-group type: P-1, No. 2
total magnetization: 4.01 μB/f.u.

(2)
DFT (GGA+U) results for crystalline KCaCoF at its relaxed geometry.

The structure in POSCAR format:
```
KCaCoF
1.0
3.328 0.000 0.000
0.000 1.924 7.610
0.000 -1.924 7.610
K Ca Co F
1 1 1 1
Direct
0.000 0.000 0.000
0.000 0.286 0.286
0.500 0.669 0.669
0.500 0.394 0.394
```

ρ: 2.7 Mg/m³
space-group type: Amm2, No. 38
ΔE to the lowest computed polymorph: 0.00 eV/f.u.
total magnetization: 1.98 μB/f.u.

(3)
DFT (GGA+U) results for crystalline LiCaCo2F8 at its relaxed geometry.

The structure in POSCAR format:
```
LiCaCo2F8
1.0
3.367 -3.528 0.000
3.367 3.528 0.000
0.000 0.000 6.404
Li Ca Co F
1 1 2 8
Direct
0.000 0.000 0.000
0.000 0.000 0.500
0.500 0.500 0.238
0.500 0.500 0.762
0.214 0.214 0.235
0.214 0.214 0.765
0.315 0.685 0.000
0.323 0.677 0.500
0.677 0.323 0.500
0.685 0.315 0.000
0.786 0.786 0.235
0.786 0.786 0.765
```

VASP energy: -60.773 eV for the cell shown
ρ: 3.5 Mg/m³
space-group type: Cmmm, No. 65
total magnetization: 7.00 μB/f.u.

(4)
DFT (GGA+U) results for crystalline CaMgCoF6 at its relaxed geometry.

The structure in POSCAR format:
```
CaMgCoF6
1.0
5.303 0.000 0.000
-2.651 4.592 0.000
0.000 0.000 9.798
Ca Mg Co F
2 2 2 12
Direct
0.000 0.000 0.000
0.000 0.000 0.500
0.333 0.667 0.250
0.667 0.333 0.750
0.333 0.667 0.750
0.667 0.333 0.250
0.007 0.355 0.139
0.007 0.652 0.361
0.348 0.355 0.361
0.348 0.993 0.139
0.355 0.007 0.639
0.355 0.348 0.861
0.645 0.652 0.139
0.645 0.993 0.361
0.652 0.007 0.861
0.652 0.645 0.639
0.993 0.348 0.639
0.993 0.645 0.861
```

VASP energy: -97.473 eV for the cell shown
ρ: 3.3 Mg/m³
space-group type: P-31c, No. 163
total magnetization: 3.00 μB/f.u.

(5)
DFT (GGA+U) results for crystalline CaMgCo2F8 at its relaxed geometry.

The structure in POSCAR format:
```
CaMgCo2F8
1.0
4.846 0.000 0.000
0.000 6.582 0.000
-0.104 0.000 4.846
Ca Mg Co F
1 1 2 8
Direct
0.000 0.000 0.000
0.000 0.500 0.000
0.500 0.260 0.500
0.500 0.740 0.500
0.201 0.274 0.200
0.201 0.726 0.200
0.300 0.500 0.699
0.321 0.000 0.678
0.679 0.000 0.322
0.700 0.500 0.301
0.799 0.274 0.800
0.799 0.726 0.800
```

VASP energy: -63.748 eV for the cell shown
ρ: 3.6 Mg/m³
space-group type: P2/m, No. 10
total magnetization: 6.00 μB/f.u.

(6)
DFT (GGA+U) results for crystalline Na2CaCoF8 at its relaxed geometry.

The structure in POSCAR format:
```
Na2CaCoF8
1.0
4.880 0.000 0.000
0.000 6.791 0.000
-0.061 0.000 5.177
Na Ca Co F
2 1 1 8
Direct
0.000 0.247 0.000
0.000 0.753 0.000
0.500 0.500 0.500
0.500 0.000 0.500
0.187 0.500 0.206
0.241 0.000 0.252
0.322 0.197 0.671
0.322 0.803 0.671
0.678 0.197 0.329
0.678 0.803 0.329
0.759 0.000 0.748
0.813 0.500 0.794
```

VASP energy: -55.464 eV for the cell shown
ρ: 2.9 Mg/m³
space-group type: P2/m, No. 10
total magnetization: 0.96 μB/f.u.

(7)
DFT (GGA+U) results for crystalline NaCaCoF6 at its relaxed geometry.

The structure in POSCAR format:
```
NaCaCoF6
1.0
5.559 0.000 0.000
-2.779 4.814 0.000
0.000 0.000 9.280
Na Ca Co F
2 2 2 12
Direct
0.000 0.000 0.000
0.000 0.000 0.500
0.333 0.667 0.250
0.667 0.333 0.750
0.333 0.667 0.750
0.667 0.333 0.250
0.054 0.387 0.637
0.054 0.667 0.863
0.333 0.387 0.863
0.333 0.946 0.637
0.387 0.054 0.137
0.387 0.333 0.363
0.613 0.667 0.637
0.613 0.946 0.863
0.667 0.054 0.363
0.667 0.613 0.137
0.946 0.333 0.137
0.946 0.613 0.363
```

VASP energy: -88.665 eV for the cell shown
ρ: 3.2 Mg/m³
space-group type: P-31c, No. 163
total magnetization: 0.09 μB/f.u.

(8)
DFT (GGA+U) results for crystalline Na2CaCoF6 at its relaxed geometry.

The structure in POSCAR format:
```
Na2CaCoF6
1.0
5.639 0.000 0.000
0.000 5.861 0.000
-5.528 0.000 8.170
Na Ca Co F
4 2 2 12
Direct
0.231 0.057 0.249
0.231 0.443 0.749
0.769 0.557 0.251
0.769 0.943 0.751
0.500 0.000 0.000
0.500 0.500 0.500
0.000 0.000 0.500
0.000 0.500 0.000
0.110 0.206 0.932
0.110 0.294 0.432
0.230 0.685 0.935
0.230 0.815 0.435
0.362 0.060 0.737
0.362 0.440 0.237
0.638 0.560 0.763
0.638 0.940 0.263
0.770 0.185 0.565
0.770 0.315 0.065
0.890 0.706 0.568
0.890 0.794 0.068
```

VASP energy: -100.039 eV for the cell shown
ρ: 3.2 Mg/m³
space-group type: P2_1/c, No. 14
total magnetization: 3.00 μB/f.u.

(9)
DFT (GGA+U) results for crystalline CaCoNiF6 at its relaxed geometry.

The structure in POSCAR format:
```
CaCoNiF6
1.0
4.916 0.000 0.000
0.000 4.916 0.000
0.000 0.000 9.825
Ca Co Ni F
2 2 2 12
Direct
0.000 0.000 0.000
0.500 0.500 0.500
0.000 0.000 0.668
0.500 0.500 0.168
0.000 0.000 0.333
0.500 0.500 0.833
0.179 0.179 0.498
0.204 0.204 0.180
0.207 0.207 0.823
0.293 0.707 0.323
0.296 0.704 0.680
0.321 0.679 0.998
0.679 0.321 0.998
0.704 0.296 0.680
0.707 0.293 0.323
0.793 0.793 0.823
0.796 0.796 0.180
0.821 0.821 0.498
```

VASP energy: -90.819 eV for the cell shown
ρ: 3.8 Mg/m³
space-group type: P4_2nm, No. 102
total magnetization: 5.00 μB/f.u.

(10)
DFT (GGA+U) results for crystalline CaCoO2F at its relaxed geometry.

The structure in POSCAR format:
```
CaCoO2F
1.0
3.781 0.000 0.000
0.000 3.781 0.000
0.000 0.000 4.039
Ca Co O F
1 1 2 1
Direct
0.000 0.000 0.000
0.500 0.500 0.500
0.000 0.500 0.500
0.500 0.000 0.500
0.500 0.500 0.000
```

VASP energy: -28.872 eV for the cell shown
ρ: 4.3 Mg/m³
space-group type: P4/mmm, No. 123
total magnetization: 2.70 μB/f.u.

(11)
DFT (GGA+U) results for crystalline CaCoO2F at its relaxed geometry.

The structure in POSCAR format:
```
CaCoO2F
1.0
4.329 0.000 0.000
0.000 4.329 0.000
0.000 0.000 4.179
Ca Co O F
1 1 2 1
Direct
0.000 0.000 0.000
0.500 0.500 0.500
0.000 0.500 0.000
0.500 0.000 0.000
0.000 0.000 0.500
```

VASP energy: -23.337 eV for the cell shown
ρ: 3.2 Mg/m³
space-group type: P4/mmm, No. 123
total magnetization: 2.93 μB/f.u.

(12)
DFT (GGA+U) results for crystalline Ca2CoOsF at its relaxed geometry.

The structure in POSCAR format:
```
Ca2CoOsF
1.0
5.542 0.000 0.000
0.000 5.542 0.000
0.000 0.000 4.365
Ca Co Os F
2 1 1 1
Direct
0.000 0.500 0.000
0.500 0.000 0.000
0.000 0.000 0.500
0.000 0.000 0.000
0.500 0.500 0.500
```

VASP energy: -22.139 eV for the cell shown
ρ: 4.3 Mg/m³
space-group type: P4/mmm, No. 123
total magnetization: 1.82 μB/f.u.

(13)
DFT (GGA+U) results for crystalline CaCo2PbF8 at its relaxed geometry.

The structure in POSCAR format:
```
CaCo2PbF8
1.0
5.125 0.000 0.000
0.000 6.926 0.000
-0.081 0.000 5.135
Ca Co Pb F
1 2 1 8
Direct
0.000 0.000 0.000
0.500 0.243 0.500
0.500 0.757 0.500
0.000 0.500 0.000
0.218 0.233 0.223
0.218 0.767 0.223
0.320 0.000 0.684
0.334 0.500 0.671
0.666 0.500 0.329
0.680 0.000 0.316
0.782 0.233 0.777
0.782 0.767 0.777
```

VASP energy: -61.990 eV for the cell shown
ρ: 4.7 Mg/m³
space-group type: P2/m, No. 10
total magnetization: 6.00 μB/f.u.

(14)
DFT (GGA+U) results for crystalline CaCoPbF6 at its relaxed geometry.

The structure in POSCAR format:
```
CaCoPbF6
1.0
5.743 0.000 0.000
-2.871 4.973 0.000
0.000 0.000 10.299
Ca Co Pb F
2 2 2 12
Direct
0.333 0.667 0.250
0.667 0.333 0.750
0.333 0.667 0.750
0.667 0.333 0.250
0.000 0.000 0.000
0.000 0.000 0.500
0.027 0.368 0.640
0.027 0.658 0.860
0.342 0.368 0.860
0.342 0.973 0.640
0.368 0.027 0.140
0.368 0.342 0.360
0.632 0.658 0.640
0.632 0.973 0.860
0.658 0.027 0.360
0.658 0.632 0.140
0.973 0.342 0.140
0.973 0.632 0.360
```

VASP energy: -94.345 eV for the cell shown
ρ: 4.7 Mg/m³
space-group type: P-31c, No. 163
total magnetization: 3.00 μB/f.u.

(15)
DFT (GGA+U) results for crystalline Rb2CaCo3F12 at its relaxed geometry.

The structure in POSCAR format:
```
Rb2CaCo3F12
1.0
3.730 2.154 5.932
-3.730 2.154 5.932
0.000 -4.308 5.932
Rb Ca Co F
2 1 3 12
Direct
0.120 0.120 0.120
0.880 0.880 0.880
0.500 0.500 0.500
0.000 0.500 0.500
0.500 0.000 0.500
0.500 0.500 0.000
0.125 0.600 0.600
0.203 0.203 0.586
0.203 0.586 0.203
0.400 0.400 0.875
0.400 0.875 0.400
0.414 0.797 0.797
0.586 0.203 0.203
0.600 0.125 0.600
0.600 0.600 0.125
0.797 0.414 0.797
0.797 0.797 0.414
0.875 0.400 0.400
```

VASP energy: -86.274 eV for the cell shown
ρ: 3.6 Mg/m³
space-group type: R-3m, No. 166
total magnetization: 6.96 μB/f.u.

(16)
DFT (GGA+U) results for crystalline Rb2CaCoF6 at its relaxed geometry.

The structure in POSCAR format:
```
Rb2CaCoF6
1.0
-3.077 3.077 4.302
3.077 -3.077 4.302
3.077 3.077 -4.302
Rb Ca Co F
2 1 1 6
Direct
0.250 0.750 0.500
0.750 0.250 0.500
0.000 0.000 0.000
0.500 0.500 0.000
0.259 0.259 0.519
0.259 0.741 0.000
0.263 0.263 0.000
0.737 0.737 0.000
0.741 0.259 0.000
0.741 0.741 0.481
```

VASP energy: -48.946 eV for the cell shown
ρ: 3.9 Mg/m³
space-group type: I4/mmm, No. 139
total magnetization: 3.00 μB/f.u.

(17)
DFT (GGA+U) results for crystalline RbCa2CoF8 at its relaxed geometry.

The structure in POSCAR format:
```
RbCa2CoF8
1.0
5.153 0.000 0.000
0.112 5.184 0.000
0.053 0.069 7.319
Rb Ca Co F
1 2 1 8
Direct
0.000 0.000 0.000
0.499 0.499 0.257
0.501 0.501 0.743
0.000 0.000 0.500
0.169 0.788 0.682
0.176 0.795 0.320
0.292 0.262 0.502
0.401 0.284 0.002
0.599 0.716 0.998
0.708 0.738 0.498
0.824 0.205 0.680
0.831 0.212 0.318
```

VASP energy: -61.379 eV for the cell shown
ρ: 3.2 Mg/m³
space-group type: P-1, No. 2
total magnetization: 4.00 μB/f.u.

(18)
DFT (GGA+U) results for crystalline RbCaCo2F8 at its relaxed geometry.

The structure in POSCAR format:
```
RbCaCo2F8
1.0
5.852 0.000 0.000
-2.926 5.068 0.000
0.000 0.000 8.000
Rb Ca Co F
1 1 2 8
Direct
0.000 0.000 0.000
0.000 0.000 0.500
0.333 0.667 0.766
0.667 0.333 0.234
0.098 0.329 0.684
0.232 0.902 0.684
0.329 0.232 0.316
0.333 0.667 0.995
0.667 0.333 0.005
0.671 0.768 0.684
0.768 0.098 0.316
0.902 0.671 0.316
```

VASP energy: -58.783 eV for the cell shown
ρ: 2.8 Mg/m³
space-group type: P-3, No. 147
total magnetization: 7.00 μB/f.u.

(19)
DFT (GGA+U) results for crystalline RbCaCoF6 at its relaxed geometry.

The structure in POSCAR format:
```
RbCaCoF6
1.0
-3.662 3.825 4.973
3.662 -3.825 4.973
3.662 3.825 -4.973
Rb Ca Co F
2 2 2 12
Direct
0.351 0.101 0.250
0.649 0.899 0.750
0.000 0.500 0.500
0.500 0.500 0.000
0.000 0.000 0.500
0.000 0.500 0.000
0.042 0.343 0.145
0.042 0.896 0.698
0.057 0.307 0.750
0.302 0.104 0.645
0.302 0.657 0.198
0.363 0.613 0.750
0.637 0.387 0.250
0.698 0.343 0.802
0.698 0.896 0.355
0.943 0.693 0.250
0.958 0.104 0.302
0.958 0.657 0.855
```

VASP energy: -88.573 eV for the cell shown
ρ: 3.6 Mg/m³
space-group type: Imma, No. 74
total magnetization: 0.07 μB/f.u.

(20)
DFT (GGA+U) results for crystalline CaCoRh2F at its relaxed geometry.

The structure in POSCAR format:
```
CaCoRh2F
1.0
4.470 0.000 0.000
0.000 4.470 0.000
0.000 0.000 4.236
Ca Co Rh F
1 1 2 1
Direct
0.000 0.000 0.000
0.500 0.500 0.000
0.000 0.500 0.500
0.500 0.000 0.500
0.000 0.000 0.500
```

VASP energy: -23.648 eV for the cell shown
ρ: 6.4 Mg/m³
space-group type: P4/mmm, No. 123
total magnetization: 3.55 μB/f.u.